6
Lattice="0.000 5.767 5.767 5.767 0.000 5.767 5.767 5.767 0.000" Properties=species:S:1:pos:R:3 comment="Sn2Pt (PBE, relaxed)" total_magnetization_mub_per_atom=0.00 pbc="T T T"
Sn 0.000 0.000 0.000
Sn 2.883 2.883 0.000
Sn 2.883 0.000 2.883
Sn 0.000 2.883 2.883
Pt 1.442 1.442 1.442
Pt 10.092 10.092 10.092

6
Lattice="3.087 0.000 0.000 0.000 3.087 0.000 0.000 0.000 10.647" Properties=species:S:1:pos:R:3 comment="HfBeAu4 (PBE, relaxed)" total_magnetization_mub_per_atom=0.00 pbc="T T T"
Hf 0.000 0.000 0.000
Be 1.543 1.543 5.324
Au 0.000 0.000 3.936
Au 0.000 0.000 6.711
Au 1.543 1.543 1.907
Au 1.543 1.543 8.740

4
Lattice="0.000 2.840 2.840 2.840 0.000 2.840 2.840 2.840 0.000" Properties=species:S:1:pos:R:3 comment="BeCdNiB (PBE, relaxed)" e_above_lowest_polymorph_mev_per_atom=0 total_magnetization_mub_per_atom=0.00 pbc="T T T"
Be 0.000 0.000 0.000
Cd 1.420 1.420 1.420
Ni 2.840 2.840 2.840
B 4.260 4.260 4.260

3
Lattice="0.000 3.402 3.402 3.402 0.000 3.402 3.402 3.402 0.000" Properties=species:S:1:pos:R:3 comment="CsHfOs (PBE, relaxed)" e_above_lowest_polymorph_mev_per_atom=0 total_magnetization_mub_per_atom=0.00 pbc="T T T"
Cs 0.000 0.000 0.000
Hf 3.402 3.402 3.402
Os 1.701 1.701 1.701

3
Lattice="0.000 3.650 3.650 3.650 0.000 3.650 3.650 3.650 0.000" Properties=species:S:1:pos:R:3 comment="SrCoSn (PBE, relaxed)" total_magnetization_mub_per_atom=0.01 pbc="T T T"
Sr 0.000 0.000 0.000
Co 5.475 5.475 5.475
Sn 1.825 1.825 1.825

Compound: B2AuO4
Source: OQMD
Functional: PBE
Structure: relaxed

The structure in extended XYZ format:
```
14
Lattice="0.000 3.899 3.899 3.899 0.000 3.899 3.899 3.899 0.000" Properties=species:S:1:pos:R:3 pbc="T T T"
B 0.000 0.000 0.000
B 1.950 1.950 0.000
B 1.950 0.000 1.950
B 0.000 1.950 1.950
Au 2.924 2.924 2.924
Au 4.874 4.874 4.874
O 6.049 3.699 3.699
O 1.749 1.749 1.749
O 4.100 4.100 1.749
O 4.100 1.749 4.100
O 3.699 6.049 3.699
O 3.699 3.699 6.049
O 6.049 6.049 6.049
O 1.749 4.100 4.100
```

Compound: CuC32N8F16
Source: OQMD
Functional: PBE
Structure: relaxed

The structure in extended XYZ format:
```
57
Lattice="4.643 0.000 0.000 2.077 9.574 0.000 1.204 3.603 13.618" Properties=species:S:1:pos:R:3 pbc="T T T"
Cu 0.000 0.000 0.000
C 2.089 5.300 11.344
C 2.908 9.311 2.837
C 4.045 11.583 8.613
C 3.067 6.306 10.996
C 3.372 6.931 9.796
C 2.760 5.089 2.672
C 3.248 5.716 13.199
C 4.351 11.276 9.927
C 3.876 9.828 3.780
C 2.006 1.284 1.741
C 2.651 3.024 7.938
C 3.061 5.715 1.471
C 4.204 9.490 5.086
C 3.804 6.569 12.169
C 2.531 1.233 3.083
C 3.483 5.364 3.836
C 4.441 7.813 9.782
C 5.393 11.944 10.535
C 4.120 6.608 1.449
C 3.721 3.687 8.532
C 4.864 7.462 12.147
C 5.274 10.153 5.679
C 5.919 11.893 11.877
C 4.048 3.349 9.838
C 3.573 1.901 3.690
C 4.677 7.460 0.418
C 5.165 8.087 10.946
C 4.553 6.246 3.822
C 4.858 6.871 2.622
C 3.879 1.594 5.005
C 5.017 3.866 10.781
C 5.835 7.877 2.274
N 2.046 8.363 3.158
N 2.226 4.972 12.669
N 3.062 9.951 1.630
N 2.513 2.085 0.817
N 5.412 11.092 12.801
N 4.862 3.226 11.988
N 5.699 8.205 0.949
N 5.879 4.813 10.459
F 3.066 10.911 7.993
F 1.748 4.211 2.741
F 2.671 6.734 8.667
F 3.595 10.373 10.574
F 2.281 5.470 0.401
F 2.257 3.344 6.703
F 3.539 8.557 5.787
F 3.147 4.739 4.967
F 4.778 8.437 8.651
F 4.386 4.620 7.831
F 5.667 9.833 6.915
F 5.643 7.706 13.217
F 4.329 2.804 3.043
F 5.254 6.443 4.951
F 6.177 8.966 10.877
F 4.859 2.266 5.625
```

5
Lattice="5.024 0.000 0.000 0.000 5.024 0.000 0.000 0.000 3.942" Properties=species:S:1:pos:R:3 comment="Y2MgOsC (PBE, relaxed)" total_magnetization_mub_per_atom=0.00 pbc="T T T"
Y 0.000 2.512 0.000
Y 2.512 0.000 0.000
Mg 0.000 0.000 1.971
Os 2.512 2.512 1.971
C 2.512 2.512 0.000

6
Lattice="0.000 6.635 6.635 6.635 0.000 6.635 6.635 6.635 0.000" Properties=species:S:1:pos:R:3 comment="Dy2Th (PBE, relaxed)" total_magnetization_mub_per_atom=0.01 delta_e_f_ev_per_atom=2.601 pbc="T T T"
Dy 0.000 0.000 0.000
Dy 3.318 3.318 0.000
Dy 3.318 0.000 3.318
Dy 0.000 3.318 3.318
Th 1.659 1.659 1.659
Th 11.612 11.612 11.612

8
Lattice="4.855 0.000 0.000 0.000 3.850 0.000 -0.360 0.000 6.682" Properties=species:S:1:pos:R:3 comment="ZrSi4Pd3 (PBE, relaxed)" total_magnetization_mub_per_atom=0.00 pbc="T T T"
Zr 0.000 0.000 0.000
Si 1.219 0.000 4.339
Si 2.340 0.000 1.128
Si 3.729 1.925 1.658
Si 4.561 1.925 4.740
Pd 1.168 1.925 2.555
Pd 2.138 1.925 5.783
Pd 3.474 0.000 3.505

8
Lattice="4.260 0.000 0.000 -2.130 3.689 0.000 0.000 0.000 8.059" Properties=species:S:1:pos:R:3 comment="LiZn2Pt (PBE, relaxed)" total_magnetization_mub_per_atom=0.00 pbc="T T T"
Li 0.000 2.460 2.015
Li 2.130 1.230 6.044
Zn 0.000 2.460 4.751
Zn 0.000 2.460 7.337
Zn 2.130 1.230 0.722
Zn 2.130 1.230 3.308
Pt 0.000 0.000 0.000
Pt 0.000 0.000 4.029

98
Lattice="13.720 0.000 0.000 0.000 8.646 4.699 0.000 -8.646 4.699" Properties=species:S:1:pos:R:3 comment="Re3H18C14NO13 (PBE, relaxed)" total_magnetization_mub_per_atom=0.00 pbc="T T T"
Re 1.706 -6.332 4.699
Re 3.430 3.259 2.845
Re 5.154 -6.332 4.699
Re 8.566 6.332 4.699
Re 10.290 -3.259 2.845
Re 12.013 6.332 4.699
H 1.322 -2.468 4.621
H 1.326 -4.294 6.385
H 2.181 -1.228 3.673
H 2.202 -2.930 3.123
H 2.527 0.176 2.324
H 2.532 -1.909 6.595
H 2.535 3.634 6.608
H 3.430 -0.359 0.876
H 3.430 -3.504 5.104
H 3.430 -0.621 5.738
H 3.430 2.088 6.593
H 4.328 -1.909 6.595
H 4.325 3.634 6.608
H 4.333 0.176 2.324
H 4.658 -2.930 3.123
H 4.678 -1.228 3.673
H 5.533 -4.294 6.385
H 5.538 -2.468 4.621
H 8.182 2.468 4.621
H 8.186 4.294 6.385
H 9.041 1.228 3.673
H 9.062 2.930 3.123
H 9.386 -0.176 2.324
H 9.394 -3.634 6.608
H 9.392 1.909 6.595
H 10.290 0.359 0.876
H 10.290 -2.088 6.593
H 10.290 0.621 5.738
H 10.290 3.504 5.104
H 11.185 -3.634 6.608
H 11.188 1.909 6.595
H 11.193 -0.176 2.324
H 11.518 2.930 3.123
H 11.538 1.228 3.673
H 12.393 4.294 6.385
H 12.398 2.468 4.621
C 0.240 1.705 1.057
C 0.442 -5.634 3.511
C 1.582 0.711 8.370
C 2.079 2.485 3.950
C 2.198 -2.272 3.996
C 3.430 0.335 1.725
C 3.430 -1.681 6.019
C 3.430 4.771 3.996
C 3.430 3.118 6.984
C 4.662 -2.272 3.996
C 4.781 2.485 3.950
C 5.278 0.711 8.370
C 6.418 -5.634 3.511
C 6.620 1.705 1.057
C 7.100 -1.705 1.057
C 7.302 5.634 3.511
C 8.442 -0.711 8.370
C 8.939 -2.485 3.950
C 9.058 2.272 3.996
C 10.290 -4.771 3.996
C 10.290 -0.335 1.725
C 10.290 -3.118 6.984
C 10.290 1.681 6.019
C 11.521 2.272 3.996
C 11.641 -2.485 3.950
C 12.138 -0.711 8.370
C 13.278 5.634 3.511
C 13.480 -1.705 1.057
N 3.430 -2.504 4.788
N 10.290 2.504 4.788
O 0.323 -3.423 7.412
O 0.688 -1.366 1.688
O 1.236 1.992 4.608
O 1.479 -0.287 7.762
O 2.127 -4.688 5.988
O 3.430 -5.518 3.712
O 3.430 1.697 1.257
O 3.430 5.709 4.706
O 4.733 -4.688 5.988
O 5.381 -0.287 7.762
O 5.624 1.992 4.608
O 6.172 -1.366 1.688
O 6.537 -3.423 7.412
O 7.183 3.423 7.412
O 7.548 1.366 1.688
O 8.096 -1.992 4.608
O 8.339 0.287 7.762
O 8.987 4.688 5.988
O 10.290 -1.697 1.257
O 10.290 -5.709 4.706
O 10.290 5.518 3.712
O 11.592 4.688 5.988
O 12.241 0.287 7.762
O 12.484 -1.992 4.608
O 13.032 1.366 1.688
O 13.396 3.423 7.412

8
Lattice="3.529 0.000 0.000 -1.765 3.057 0.000 0.000 0.000 18.034" Properties=species:S:1:pos:R:3 comment="PrTcSb2 (PBE, relaxed)" total_magnetization_mub_per_atom=0.00 pbc="T T T"
Pr 0.000 0.000 0.000
Pr 0.000 0.000 9.017
Tc 0.000 2.038 4.509
Tc 1.765 1.019 13.526
Sb 0.000 2.038 11.728
Sb 0.000 2.038 15.323
Sb 1.765 1.019 2.711
Sb 1.765 1.019 6.306

Compound: BaMg2CdAu
Source: OQMD
Functional: PBE
Structure: relaxed

The structure in extended XYZ format:
```
5
Lattice="-2.317 2.317 6.450 2.317 -2.317 6.450 2.317 2.317 -6.450" Properties=species:S:1:pos:R:3 pbc="T T T"
Ba 0.000 0.000 0.000
Mg 2.317 0.000 3.387
Mg 0.000 2.317 3.387
Cd 0.000 0.000 7.946
Au 0.000 0.000 4.960
```

24
Lattice="-4.846 4.846 3.137 4.846 -4.846 3.137 4.846 4.846 -3.137" Properties=species:S:1:pos:R:3 comment="ThCo9Si2 (PBE, relaxed)" total_magnetization_mub_per_atom=0.69 pbc="T T T"
Th 4.846 2.423 0.784
Th 0.000 2.423 2.352
Co 4.846 -2.423 2.352
Co 3.641 -0.425 1.166
Co 6.051 -0.425 1.166
Co 1.998 1.218 0.403
Co 7.693 1.218 0.403
Co 3.641 4.421 -1.166
Co 1.205 -0.425 1.971
Co 1.998 3.628 0.403
Co 2.847 -1.218 3.539
Co 1.998 6.064 -0.403
Co 2.847 1.218 2.734
Co 3.641 5.270 1.166
Co 1.205 0.425 4.302
Co -2.847 3.628 2.734
Co 2.847 3.628 2.734
Co -1.205 5.270 1.971
Co 1.205 5.270 1.971
Co 0.000 7.269 0.784
Si 0.000 0.000 0.000
Si 2.423 2.423 -1.568
Si 2.423 -2.423 1.568
Si 0.000 4.846 0.000

14
Lattice="2.077 -6.733 0.000 2.077 6.733 0.000 0.000 0.000 13.971" Properties=species:S:1:pos:R:3 comment="AcDy2Se4 (PBE, relaxed)" total_magnetization_mub_per_atom=0.00 pbc="T T T"
Ac 2.077 5.116 10.478
Ac 2.077 -5.116 3.493
Dy 2.077 1.742 7.871
Dy 2.077 1.742 13.085
Dy 2.077 -1.742 0.886
Dy 2.077 -1.742 6.100
Se 0.000 0.000 0.000
Se 0.000 0.000 6.986
Se 2.077 3.098 1.643
Se 2.077 3.098 5.342
Se 2.077 0.677 10.478
Se 2.077 -0.677 3.493
Se 2.077 -3.098 8.629
Se 2.077 -3.098 12.328

Compound: Li4Al2CdAg
Source: OQMD
Functional: PBE
Structure: relaxed

The structure in extended XYZ format:
```
8
Lattice="4.474 0.000 0.000 0.000 4.474 0.000 0.000 0.000 6.339" Properties=species:S:1:pos:R:3 pbc="T T T"
Li 0.000 0.000 0.000
Li 0.000 2.237 4.713
Li 2.237 0.000 1.626
Li 2.237 2.237 3.170
Al 0.000 2.237 1.677
Al 2.237 0.000 4.662
Cd 2.237 2.237 0.000
Ag 0.000 0.000 3.170
```

no.,VASP energy (eV/atom)
1,-4.4516
2,-4.7150
3,-3.5170
4,-5.9306
5,-3.2508
6,-5.5768
7,-7.3037
8,-7.3123
9,-2.9382
10,-6.1742
11,-2.9825
12,-6.6855
13,-5.9996
14,-2.2547
15,-7.1956
16,-5.8119
17,-2.5902